(1)
Crystalline CaCrSb4 at its relaxed geometry, computed with PBE-GGA.

The structure in POSCAR format:
```
CaCrSb4
1.0
0.000 4.430 4.430
4.430 0.000 4.430
4.430 4.430 0.000
Ca Cr Sb
1 1 4
direct
0.000 0.000 0.000
0.750 0.750 0.750
0.376 0.376 0.376
0.376 0.376 0.873
0.376 0.873 0.376
0.873 0.376 0.376
```

Values from the calculation:
Space-group type: No. 216

(2)
Crystalline CaCr2Sb2 at its relaxed geometry, computed with PBE-GGA.

The structure in POSCAR format:
```
CaCr2Sb2
1.0
-1.832 1.832 7.927
1.832 -1.832 7.927
1.832 1.832 -7.927
Ca Cr Sb
1 2 2
direct
0.000 0.000 0.000
0.250 0.750 0.500
0.750 0.250 0.500
0.372 0.372 0.000
0.628 0.628 0.000
```

Values from the calculation:
Space-group type: No. 139

(3)
Crystalline CaCrSb2 at its relaxed geometry, computed with PBE-GGA.

The structure in POSCAR format:
```
CaCrSb2
1.0
4.221 0.000 0.000
0.000 4.820 0.000
0.000 0.000 4.854
Ca Cr Sb
1 1 2
direct
0.000 0.000 0.000
0.000 0.500 0.500
0.500 0.000 0.500
0.500 0.500 0.000
```

Values from the calculation:
Space-group type: No. 47

(4)
Crystalline CaCr4Sb at its relaxed geometry, computed with PBE-GGA.

The structure in POSCAR format:
```
CaCr4Sb
1.0
0.000 3.587 3.587
3.587 0.000 3.587
3.587 3.587 0.000
Ca Cr Sb
1 4 1
direct
0.000 0.000 0.000
0.127 0.624 0.624
0.624 0.127 0.624
0.624 0.624 0.127
0.624 0.624 0.624
0.250 0.250 0.250
```

Values from the calculation:
Space-group type: No. 216

(5)
Crystalline CaCr2Sb at its relaxed geometry, computed with PBE-GGA.

The structure in POSCAR format:
```
CaCr2Sb
1.0
3.421 0.000 0.000
0.000 3.421 0.000
0.000 0.000 7.257
Ca Cr Sb
1 2 1
direct
0.000 0.000 0.000
0.000 0.000 0.441
0.500 0.500 0.313
0.500 0.500 0.690
```

Values from the calculation:
Space-group type: No. 99

(6)
Crystalline Ca2CrSb at its relaxed geometry, computed with PBE-GGA.

The structure in POSCAR format:
```
Ca2CrSb
1.0
4.559 -1.751 0.000
4.559 1.751 0.000
-1.119 0.000 7.549
Ca Cr Sb
2 1 1
direct
0.245 0.245 0.250
0.755 0.755 0.750
0.000 0.000 0.500
0.500 0.500 0.000
```

Values from the calculation:
Space-group type: No. 12

(7)
Crystalline CaCrSb2 at its relaxed geometry, computed with PBE-GGA.

The structure in POSCAR format:
```
CaCrSb2
1.0
-1.699 2.027 7.545
1.699 -2.027 7.545
1.699 2.027 -7.545
Ca Cr Sb
1 1 2
direct
0.000 0.000 0.000
0.235 0.735 0.500
0.380 0.380 0.000
0.664 0.164 0.500
```

Values from the calculation:
Space-group type: No. 44

(8)
Crystalline CaCr2Sb at its relaxed geometry, computed with PBE-GGA.

The structure in POSCAR format:
```
CaCr2Sb
1.0
3.145 -5.128 0.000
3.145 5.128 0.000
-1.556 0.000 2.779
Ca Cr Sb
1 2 1
direct
0.000 0.000 0.000
0.000 0.500 0.500
0.500 0.000 0.500
0.500 0.500 0.000
```

Values from the calculation:
Space-group type: No. 12

(9)
Crystalline CaCr2Sb at its relaxed geometry, computed with PBE-GGA.

The structure in POSCAR format:
```
CaCr2Sb
1.0
-2.248 2.248 4.310
2.248 -2.248 4.310
2.248 2.248 -4.310
Ca Cr Sb
1 2 1
direct
0.000 0.000 0.000
0.250 0.750 0.500
0.750 0.250 0.500
0.500 0.500 0.000
```

Values from the calculation:
Space-group type: No. 139

(10)
Crystalline CaCrSb2 at its relaxed geometry, computed with PBE-GGA.

The structure in POSCAR format:
```
CaCrSb2
1.0
2.244 -2.749 0.000
2.244 2.749 0.000
0.000 0.000 7.919
Ca Cr Sb
1 1 2
direct
0.000 0.000 0.000
0.000 0.000 0.500
0.500 0.500 0.287
0.500 0.500 0.713
```

Values from the calculation:
Space-group type: No. 65

(11)
Crystalline CaCrSb2 at its relaxed geometry, computed with PBE-GGA.

The structure in POSCAR format:
```
CaCrSb2
1.0
3.863 0.000 0.000
0.000 3.863 0.000
0.000 0.000 7.106
Ca Cr Sb
1 1 2
direct
0.000 0.000 0.000
0.500 0.500 0.381
0.000 0.000 0.445
0.500 0.500 0.769
```

Values from the calculation:
Space-group type: No. 99

(12)
Crystalline Ca2CrSb at its relaxed geometry, computed with PBE-GGA.

The structure in POSCAR format:
```
Ca2CrSb
1.0
4.000 0.000 0.000
0.000 4.000 0.000
0.000 0.000 6.966
Ca Cr Sb
2 1 1
direct
0.000 0.000 0.241
0.000 0.000 0.759
0.500 0.500 0.500
0.500 0.500 0.000
```

Values from the calculation:
Space-group type: No. 123

(13)
Crystalline CaSc2CrSb at its relaxed geometry, computed with PBE-GGA.

The structure in POSCAR format:
```
CaSc2CrSb
1.0
5.219 0.000 0.000
0.000 5.219 0.000
0.000 0.000 4.291
Ca Sc Cr Sb
1 2 1 1
direct
0.000 0.000 0.000
0.000 0.500 0.000
0.500 0.000 0.000
0.000 0.000 0.500
0.500 0.500 0.500
```

Values from the calculation:
Space-group type: No. 123

(14)
Crystalline Ca2TaCrSb at its relaxed geometry, computed with PBE-GGA.

The structure in POSCAR format:
```
Ca2TaCrSb
1.0
5.831 0.000 0.000
0.000 5.831 0.000
0.000 0.000 4.335
Ca Ta Cr Sb
2 1 1 1
direct
0.000 0.500 0.000
0.500 0.000 0.000
0.000 0.000 0.000
0.000 0.000 0.500
0.500 0.500 0.500
```

Values from the calculation:
Space-group type: No. 123

(15)
Crystalline CaCrSbTe2 at its relaxed geometry, computed with PBE-GGA.

The structure in POSCAR format:
```
CaCrSbTe2
1.0
5.772 0.000 0.000
0.000 5.772 0.000
0.000 0.000 5.728
Ca Cr Sb Te
1 1 1 2
direct
0.000 0.000 0.000
0.500 0.500 0.500
0.000 0.000 0.500
0.000 0.500 0.000
0.500 0.000 0.000
```

Values from the calculation:
Space-group type: No. 123

(16)
Crystalline CaCrSbTe2 at its relaxed geometry, computed with PBE-GGA.

The structure in POSCAR format:
```
CaCrSbTe2
1.0
5.443 0.000 0.000
0.000 5.443 0.000
0.000 0.000 5.039
Ca Cr Sb Te
1 1 1 2
direct
0.000 0.000 0.000
0.500 0.500 0.500
0.500 0.500 0.000
0.000 0.500 0.500
0.500 0.000 0.500
```

Values from the calculation:
Space-group type: No. 123

(17)
Crystalline Ca2ZrCrSb at its relaxed geometry, computed with PBE-GGA.

The structure in POSCAR format:
```
Ca2ZrCrSb
1.0
5.191 0.000 0.000
0.000 5.191 0.000
0.000 0.000 4.995
Ca Zr Cr Sb
2 1 1 1
direct
0.000 0.500 0.000
0.500 0.000 0.000
0.000 0.000 0.500
0.500 0.500 0.000
0.500 0.500 0.500
```

Values from the calculation:
Space-group type: No. 123

(18)
Crystalline CaScCr2 at its relaxed geometry, computed with PBE-GGA.

The structure in POSCAR format:
```
CaScCr2
1.0
3.434 0.000 0.000
0.000 3.434 0.000
0.000 0.000 7.528
Ca Sc Cr
1 1 2
direct
0.000 0.000 0.000
0.000 0.000 0.500
0.500 0.500 0.287
0.500 0.500 0.713
```

Values from the calculation:
Space-group type: No. 123
ΔH_f (0 K) in meV per atom: 551

(19)
Crystalline CaScCr4 at its relaxed geometry, computed with PBE-GGA.

The structure in POSCAR format:
```
CaScCr4
1.0
0.000 3.620 3.620
3.620 0.000 3.620
3.620 3.620 0.000
Ca Sc Cr
1 1 4
direct
0.000 0.000 0.000
0.250 0.250 0.250
0.125 0.625 0.625
0.625 0.125 0.625
0.625 0.625 0.125
0.625 0.625 0.625
```

Values from the calculation:
Space-group type: No. 216
ΔH_f (0 K) in meV per atom: 501

(20)
Crystalline CaScCr2 at its relaxed geometry, computed with PBE-GGA.

The structure in POSCAR format:
```
CaScCr2
1.0
1.627 0.939 9.573
-1.627 0.939 9.573
0.000 -1.878 9.573
Ca Sc Cr
1 1 2
direct
0.000 0.000 0.000
0.500 0.500 0.500
0.244 0.244 0.244
0.756 0.756 0.756
```

Values from the calculation:
Space-group type: No. 166
ΔH_f (0 K) in meV per atom: 760

Across the entries above, E_tot takes the values -4.468, -5.925, -5.122, -6.972, -6.185, -4.352, -5.163, -5.800, -5.954, -5.117, -5.023, -4.542, -4.354, -4.970, -3.789, -4.609, -4.472, -6.344, -7.304, -6.135 eV/atom, respectively.